# 1
A plane-wave DFT calculation with GGA-PBE was carried out for an optimized crystal structure of Cs2TlCuHg. Values from VASP.

Geometry as Quantum ESPRESSO input:
```
&SYSTEM
  ibrav = 0, nat = 5, ntyp = 4
/
ATOMIC_SPECIES
Cs 132.91 Cs.upf
Hg 200.59 Hg.upf
Tl 204.38 Tl.upf
Cu 63.55 Cu.upf
ATOMIC_POSITIONS angstrom
Cs -1.475 0.315 -3.153
Cs -1.870 -2.895 0.585
Hg -5.205 -1.174 -1.557
Tl -1.860 1.406 1.011
Cu 0.000 0.000 0.000
CELL_PARAMETERS angstrom
-2.950 0.631 -6.306
-3.739 -5.789 1.170
-3.720 2.812 2.022
```

Energy of formation from the pure elements = 91 meV/atom
V = 248.38 Å³ per cell

***

# 2
A plane-wave DFT calculation with GGA-PBE was carried out for an optimized crystal structure of CsZnCu2Hg. Values from VASP.

Geometry as Quantum ESPRESSO input:
```
&SYSTEM
  ibrav = 0, nat = 5, ntyp = 4
/
ATOMIC_SPECIES
Hg 200.59 Hg.upf
Cu 63.55 Cu.upf
Cs 132.91 Cs.upf
Zn 65.41 Zn.upf
ATOMIC_POSITIONS angstrom
Hg 3.153 3.644 3.153
Cu 0.000 0.000 3.153
Cu 3.153 0.000 0.000
Cs 0.000 0.000 0.000
Zn 0.000 3.644 0.000
CELL_PARAMETERS angstrom
6.307 0.000 0.000
0.000 7.289 0.000
0.000 0.000 6.307
```

Energy of formation from the pure elements = 1180 meV/atom
V = 289.92 Å³ per cell

***

# 3
A plane-wave DFT calculation with GGA-PBE was carried out for an optimized crystal structure of Cs2HoCuI6. Values from VASP.

Geometry as Quantum ESPRESSO input:
```
&SYSTEM
  ibrav = 0, nat = 10, ntyp = 4
/
ATOMIC_SPECIES
I 126.90 I.upf
Cu 63.55 Cu.upf
Cs 132.91 Cs.upf
Ho 164.93 Ho.upf
ATOMIC_POSITIONS angstrom
I -2.557 -10.379 -13.702
I 0.450 -0.893 -2.812
I -1.132 -6.197 -11.383
I -2.587 -1.016 -5.478
I 2.046 -2.331 -6.716
I -0.975 -5.074 -5.132
Cu -0.270 -1.673 -6.097
Cs 1.603 -6.064 -8.157
Cs -3.711 -5.207 -8.357
Ho 0.000 0.000 0.000
CELL_PARAMETERS angstrom
-5.548 -0.646 -6.345
5.007 -2.701 -5.849
-1.566 -7.925 -4.321
```

V = 451.14 Å³ per cell
Formation energy without anion corrections = -11.733 eV per formula unit

***

# 4
A plane-wave DFT calculation with GGA-PBE was carried out for an optimized crystal structure of CsHoCuI6. Values from VASP.

Geometry as Quantum ESPRESSO input:
```
&SYSTEM
  ibrav = 0, nat = 9, ntyp = 4
/
ATOMIC_SPECIES
I 126.90 I.upf
Ho 164.93 Ho.upf
Cu 63.55 Cu.upf
Cs 132.91 Cs.upf
ATOMIC_POSITIONS angstrom
I 6.660 7.158 5.326
I 1.935 2.749 1.845
I 6.198 2.883 4.560
I 8.940 7.648 1.795
I 5.470 5.114 1.043
I 2.498 3.714 5.460
Ho 7.456 5.333 3.182
Cu 3.784 2.320 3.653
Cs 6.559 1.348 -0.475
CELL_PARAMETERS angstrom
7.366 0.879 -0.475
4.438 7.692 -0.940
-0.538 -0.927 8.247
```

V = 429.12 Å³ per cell
Formation energy without anion corrections = -8.677 eV per formula unit

***

What did the third record say?
A plane-wave DFT calculation with GGA-PBE was carried out for an optimized crystal structure of Cs2HoCuI6. Values from VASP.

Geometry as Quantum ESPRESSO input:
```
&SYSTEM
  ibrav = 0, nat = 10, ntyp = 4
/
ATOMIC_SPECIES
I 126.90 I.upf
Cu 63.55 Cu.upf
Cs 132.91 Cs.upf
Ho 164.93 Ho.upf
ATOMIC_POSITIONS angstrom
I -2.557 -10.379 -13.702
I 0.450 -0.893 -2.812
I -1.132 -6.197 -11.383
I -2.587 -1.016 -5.478
I 2.046 -2.331 -6.716
I -0.975 -5.074 -5.132
Cu -0.270 -1.673 -6.097
Cs 1.603 -6.064 -8.157
Cs -3.711 -5.207 -8.357
Ho 0.000 0.000 0.000
CELL_PARAMETERS angstrom
-5.548 -0.646 -6.345
5.007 -2.701 -5.849
-1.566 -7.925 -4.321
```

V = 451.14 Å³ per cell
Formation energy without anion corrections = -11.733 eV per formula unit

***

Q: Which formula does entry 2 have?
A: CsZnCu2Hg